Record 1
The following is a DFT calculation (PBE) of CaErN after structural relaxation.

a = 3.473 Å, b = 5.111 Å, c = 7.283 Å
α = 90.00°, β = 90.00°, γ = 90.00°
Sites, in units of the cell vectors:
Ca: 0.250 0.250 0.108
Ca: 0.750 0.750 0.892
Er: 0.250 0.250 0.655
Er: 0.750 0.750 0.345
N: 0.250 0.750 0.147
N: 0.750 0.250 0.853

Values from the calculation:
Fermi-level density of states, states/eV/f.u.: 1.11
Uncorrected formation energy, meV/atom: -905
Space group: Pmmn

***

Record 2
The following is a DFT calculation (PBE) of CaEr2NbN4 after structural relaxation.

a = 6.157 Å, b = 6.157 Å, c = 12.120 Å
α = 90.00°, β = 90.00°, γ = 148.00°
Sites, in units of the cell vectors:
Ca: 0.108 0.892 0.750
Ca: 0.892 0.108 0.250
Er: 0.371 0.629 0.532
Er: 0.371 0.629 0.968
Er: 0.629 0.371 0.032
Er: 0.629 0.371 0.468
Nb: 0.158 0.842 0.250
Nb: 0.842 0.158 0.750
N: 0.000 0.000 0.000
N: 0.000 0.000 0.500
N: 0.256 0.744 0.120
N: 0.256 0.744 0.380
N: 0.441 0.559 0.750
N: 0.559 0.441 0.250
N: 0.744 0.256 0.620
N: 0.744 0.256 0.880

Values from the calculation:
Fermi-level density of states, states/eV/f.u.: 3.25
Uncorrected formation energy, meV/atom: -1247
Space group: Cmcm

***

Record 3
The following is a DFT calculation (PBE) of Ca3ErNp2N6 after structural relaxation.

a = 7.723 Å, b = 7.723 Å, c = 6.983 Å
α = 103.45°, β = 103.45°, γ = 26.11°
Sites, in units of the cell vectors:
Ca: 0.000 0.000 0.000
Ca: 0.334 0.334 0.667
Ca: 0.666 0.666 0.333
Er: 0.000 0.000 0.500
Np: 0.335 0.335 0.171
Np: 0.665 0.665 0.829
N: 0.163 0.163 0.607
N: 0.177 0.177 0.065
N: 0.486 0.486 0.254
N: 0.514 0.514 0.746
N: 0.823 0.823 0.935
N: 0.837 0.837 0.393

Values from the calculation:
Fermi-level density of states, states/eV/f.u.: 10.75
Uncorrected formation energy, meV/atom: -1273
Space group: C2/m

***

Record 4
The following is a DFT calculation (PBE) of Ca4ErNp3N8 after structural relaxation.

a = 6.964 Å, b = 6.964 Å, c = 6.964 Å
α = 59.82°, β = 59.82°, γ = 59.82°
Sites, in units of the cell vectors:
Ca: 0.000 0.000 0.000
Ca: 0.000 0.500 0.500
Ca: 0.500 0.000 0.500
Ca: 0.500 0.500 0.000
Er: 0.500 0.500 0.500
Np: 0.000 0.000 0.500
Np: 0.000 0.500 0.000
Np: 0.500 0.000 0.000
N: 0.226 0.744 0.744
N: 0.240 0.240 0.240
N: 0.256 0.256 0.774
N: 0.256 0.774 0.256
N: 0.744 0.226 0.744
N: 0.744 0.744 0.226
N: 0.760 0.760 0.760
N: 0.774 0.256 0.256

Values from the calculation:
Fermi-level density of states, states/eV/f.u.: 18.60
Uncorrected formation energy, meV/atom: -1243
Space group: R-3m

***

Record 5
The following is a DFT calculation (PBE) of Ca3ErPa2N6 after structural relaxation.

a = 6.101 Å, b = 6.101 Å, c = 6.056 Å
α = 99.66°, β = 99.66°, γ = 119.99°
Sites, in units of the cell vectors:
Ca: 0.000 0.000 0.000
Ca: 0.335 0.665 0.000
Ca: 0.665 0.335 0.000
Er: 0.500 0.500 0.500
Pa: 0.167 0.833 0.500
Pa: 0.833 0.167 0.500
N: 0.083 0.428 0.285
N: 0.228 0.228 0.718
N: 0.428 0.083 0.285
N: 0.572 0.917 0.715
N: 0.772 0.772 0.282
N: 0.917 0.572 0.715

Values from the calculation:
Fermi-level density of states, states/eV/f.u.: 4.93
Uncorrected formation energy, meV/atom: -1517
Space group: C2/m

***

Record 6
The following is a DFT calculation (PBE) of Ca3Er2PaN6 after structural relaxation.

a = 6.041 Å, b = 6.041 Å, c = 6.058 Å
α = 99.55°, β = 99.55°, γ = 120.04°
Sites, in units of the cell vectors:
Ca: 0.000 0.000 0.000
Ca: 0.331 0.669 0.000
Ca: 0.669 0.331 0.000
Er: 0.167 0.833 0.500
Er: 0.833 0.167 0.500
Pa: 0.500 0.500 0.500
N: 0.105 0.426 0.278
N: 0.253 0.253 0.720
N: 0.426 0.105 0.278
N: 0.574 0.895 0.722
N: 0.747 0.747 0.280
N: 0.895 0.574 0.722

Values from the calculation:
Fermi-level density of states, states/eV/f.u.: 13.20
Uncorrected formation energy, meV/atom: -1397
Space group: C2/m

***

Record 7
The following is a DFT calculation (PBE) of Ca4ErPa3N8 after structural relaxation.

a = 7.007 Å, b = 7.007 Å, c = 7.007 Å
α = 60.54°, β = 60.54°, γ = 60.54°
Sites, in units of the cell vectors:
Ca: 0.000 0.000 0.000
Ca: 0.000 0.500 0.500
Ca: 0.500 0.000 0.500
Ca: 0.500 0.500 0.000
Er: 0.500 0.500 0.500
Pa: 0.000 0.000 0.500
Pa: 0.000 0.500 0.000
Pa: 0.500 0.000 0.000
N: 0.227 0.744 0.744
N: 0.239 0.239 0.239
N: 0.256 0.256 0.773
N: 0.256 0.773 0.256
N: 0.744 0.227 0.744
N: 0.744 0.744 0.227
N: 0.761 0.761 0.761
N: 0.773 0.256 0.256

Values from the calculation:
Fermi-level density of states, states/eV/f.u.: 9.03
Uncorrected formation energy, meV/atom: -1490
Space group: R-3m

***

Record 8
The following is a DFT calculation (PBE) of CaEr2PuN4 after structural relaxation.

a = 5.931 Å, b = 3.471 Å, c = 5.932 Å
α = 90.00°, β = 108.34°, γ = 90.00°
Sites, in units of the cell vectors:
Ca: 0.000 0.000 0.000
Er: 0.500 0.000 0.500
Er: 0.500 0.500 0.000
Pu: 0.000 0.500 0.500
N: 0.248 0.500 0.276
N: 0.256 0.000 0.745
N: 0.744 0.000 0.255
N: 0.752 0.500 0.724

Values from the calculation:
Fermi-level density of states, states/eV/f.u.: 5.39
Uncorrected formation energy, meV/atom: -1436
Space group: P2/m